(1)
## LaInO2 (PBE)

Data for a geometry-optimized LaInO2 structure.

Size of the total moment ... 0.0 Bohr magnetons per cell

POSCAR file:
```
LaInO2
1.0
-2.901 2.901 5.641
2.901 -2.901 5.641
2.901 2.901 -5.641
La In O
2 2 4
Direct
0.000 0.000 0.000
0.750 0.250 0.500
0.250 0.750 0.500
0.500 0.500 0.000
0.063 0.625 0.938
0.375 0.313 0.438
0.687 0.125 0.062
0.875 0.937 0.562
```

(2)
## La2InO (PBE)

Data for a geometry-optimized La2InO structure.

Size of the total moment ... 0.0 Bohr magnetons per cell

POSCAR file:
```
La2InO
1.0
3.397 -3.397 0.000
3.397 3.397 0.000
-0.026 0.000 9.413
La In O
4 2 2
Direct
0.249 0.249 0.668
0.250 0.750 0.000
0.750 0.250 0.000
0.751 0.751 0.332
0.251 0.251 0.296
0.749 0.749 0.704
0.250 0.250 0.921
0.750 0.750 0.079
```

(3)
## LaIn2O (PBE)

Data for a geometry-optimized LaIn2O structure.

Size of the total moment ... 0.0 Bohr magnetons per cell

POSCAR file:
```
LaIn2O
1.0
-5.149 5.149 2.215
5.149 -5.149 2.215
5.149 5.149 -2.215
La In O
2 4 2
Direct
0.000 0.000 0.000
0.750 0.250 0.500
0.223 0.625 0.098
0.375 0.473 0.598
0.527 0.125 0.902
0.875 0.777 0.402
0.250 0.750 0.500
0.500 0.500 0.000
```

(4)
## La2InO (PBE)

Data for a geometry-optimized La2InO structure.

Size of the total moment ... 0.0 Bohr magnetons per cell

POSCAR file:
```
La2InO
1.0
0.000 3.719 3.719
3.719 0.000 3.719
3.719 3.719 0.000
La In O
2 1 1
Direct
0.250 0.250 0.250
0.750 0.750 0.750
0.000 0.000 0.000
0.500 0.500 0.500
```

(5)
## LaInO2 (PBE)

Data for a geometry-optimized LaInO2 structure.

Size of the total moment ... 0.0 Bohr magnetons per cell

POSCAR file:
```
LaInO2
1.0
1.847 1.066 6.796
-1.847 1.066 6.796
0.000 -2.132 6.796
La In O
1 1 2
Direct
0.000 0.000 0.000
0.500 0.500 0.500
0.389 0.389 0.389
0.611 0.611 0.611
```

(6)
## La3InO6 (PBE)

Data for a geometry-optimized La3InO6 structure.

Size of the total moment ... 0.0 Bohr magnetons per cell

POSCAR file:
```
La3InO6
1.0
4.760 -5.980 0.000
4.760 5.980 0.000
0.000 0.000 5.859
La In O
6 2 12
Direct
0.103 0.897 0.500
0.197 0.410 0.543
0.410 0.197 0.043
0.590 0.803 0.543
0.803 0.590 0.043
0.897 0.103 0.000
0.314 0.686 0.068
0.686 0.314 0.568
0.075 0.604 0.259
0.146 0.173 0.274
0.173 0.146 0.774
0.283 0.717 0.722
0.396 0.925 0.259
0.469 0.531 0.236
0.531 0.469 0.736
0.604 0.075 0.759
0.717 0.283 0.222
0.827 0.854 0.274
0.854 0.827 0.774
0.925 0.396 0.759
```

(7)
## LaInO3 (PBE)

Data for a geometry-optimized LaInO3 structure.

Size of the total moment ... 0.0 Bohr magnetons per cell

POSCAR file:
```
LaInO3
1.0
6.003 0.000 0.000
0.000 8.352 0.000
0.000 0.000 5.770
La In O
4 4 12
Direct
0.055 0.250 0.017
0.445 0.750 0.517
0.555 0.250 0.483
0.945 0.750 0.983
0.000 0.000 0.500
0.000 0.500 0.500
0.500 0.000 0.000
0.500 0.500 0.000
0.050 0.750 0.381
0.197 0.563 0.805
0.197 0.937 0.805
0.303 0.063 0.305
0.303 0.437 0.305
0.450 0.250 0.881
0.550 0.750 0.119
0.697 0.563 0.695
0.697 0.937 0.695
0.803 0.063 0.195
0.803 0.437 0.195
0.950 0.250 0.619
```

(8)
## La2InO (PBE)

Data for a geometry-optimized La2InO structure.

Size of the total moment ... 0.0 Bohr magnetons per cell

POSCAR file:
```
La2InO
1.0
-3.674 3.674 4.190
3.674 -3.674 4.190
3.674 3.674 -4.190
La In O
4 2 2
Direct
0.022 0.625 0.897
0.375 0.272 0.397
0.728 0.125 0.103
0.875 0.978 0.603
0.250 0.750 0.500
0.500 0.500 0.000
0.000 0.000 0.000
0.750 0.250 0.500
```

(9)
## LaInO4 (PBE)

Data for a geometry-optimized LaInO4 structure.

Size of the total moment ... 2.0 Bohr magnetons per cell

POSCAR file:
```
LaInO4
1.0
4.037 0.000 0.000
0.000 4.037 0.000
0.000 0.000 5.193
La In O
1 1 4
Direct
0.000 0.000 0.000
0.500 0.500 0.500
0.000 0.500 0.275
0.000 0.500 0.725
0.500 0.000 0.275
0.500 0.000 0.725
```

(10)
## La4In2O (PBE)

Data for a geometry-optimized La4In2O structure.

Size of the total moment ... 0.0 Bohr magnetons per cell

POSCAR file:
```
La4In2O
1.0
-2.468 2.468 8.687
2.468 -2.468 8.687
2.468 2.468 -8.687
La In O
4 2 1
Direct
0.000 0.500 0.500
0.174 0.174 0.000
0.500 0.000 0.500
0.826 0.826 0.000
0.362 0.362 0.000
0.638 0.638 0.000
0.000 0.000 0.000
```

(11)
## La6In2OsO (PBE)

Data for a geometry-optimized La6In2OsO structure.

Size of the total moment ... 0.0 Bohr magnetons per cell

POSCAR file:
```
La6In2OsO
1.0
7.583 0.000 0.000
0.000 10.715 0.000
0.000 0.000 7.581
La In Os O
12 4 2 2
Direct
0.009 0.250 0.008
0.009 0.250 0.490
0.250 0.010 0.250
0.250 0.490 0.250
0.491 0.250 0.008
0.491 0.250 0.490
0.509 0.750 0.510
0.509 0.750 0.992
0.750 0.510 0.750
0.750 0.990 0.750
0.991 0.750 0.510
0.991 0.750 0.992
0.250 0.000 0.750
0.250 0.500 0.750
0.750 0.000 0.250
0.750 0.500 0.250
0.250 0.750 0.251
0.750 0.250 0.749
0.250 0.250 0.249
0.750 0.750 0.751
```

(12)
## LaInOsO6 (PBE)

Data for a geometry-optimized LaInOsO6 structure.

Size of the total moment ... 4.0 Bohr magnetons per cell

POSCAR file:
```
LaInOsO6
1.0
5.469 0.000 0.000
-2.735 4.737 0.000
0.000 0.000 10.158
La In Os O
2 2 2 12
Direct
0.000 0.000 0.000
0.000 0.000 0.500
0.333 0.667 0.250
0.667 0.333 0.750
0.333 0.667 0.750
0.667 0.333 0.250
0.034 0.380 0.642
0.034 0.654 0.858
0.346 0.380 0.858
0.346 0.966 0.642
0.380 0.034 0.142
0.380 0.346 0.358
0.620 0.654 0.642
0.620 0.966 0.858
0.654 0.034 0.358
0.654 0.620 0.142
0.966 0.346 0.142
0.966 0.620 0.358
```

(13)
## LaInP2O (PBE)

Data for a geometry-optimized LaInP2O structure.

Size of the total moment ... 1.9 Bohr magnetons per cell

POSCAR file:
```
LaInP2O
1.0
5.845 0.000 0.000
0.000 5.845 0.000
0.000 0.000 4.294
La In P O
1 1 2 1
Direct
0.000 0.000 0.000
0.500 0.500 0.500
0.000 0.500 0.000
0.500 0.000 0.000
0.000 0.000 0.500
```

(14)
## La4InPbO (PBE)

Data for a geometry-optimized La4InPbO structure.

Size of the total moment ... 0.0 Bohr magnetons per cell

POSCAR file:
```
La4InPbO
1.0
3.442 -9.038 0.000
3.442 9.038 0.000
0.000 0.000 6.864
La In Pb O
8 2 2 2
Direct
0.000 0.500 0.000
0.000 0.500 0.500
0.063 0.937 0.750
0.420 0.580 0.750
0.500 0.000 0.000
0.500 0.000 0.500
0.580 0.420 0.250
0.937 0.063 0.250
0.116 0.884 0.250
0.884 0.116 0.750
0.390 0.610 0.250
0.610 0.390 0.750
0.286 0.714 0.750
0.714 0.286 0.250
```

(15)
## La2InPdO (PBE)

Data for a geometry-optimized La2InPdO structure.

Size of the total moment ... 0.0 Bohr magnetons per cell

POSCAR file:
```
La2InPdO
1.0
4.913 0.000 0.000
0.000 4.913 0.000
0.000 0.000 4.825
La In Pd O
2 1 1 1
Direct
0.000 0.500 0.000
0.500 0.000 0.000
0.000 0.000 0.500
0.500 0.500 0.500
0.000 0.000 0.000
```

(16)
## La12PmIn4O3 (PBE)

Data for a geometry-optimized La12PmIn4O3 structure.

Size of the total moment ... 1.0 Bohr magnetons per cell

POSCAR file:
```
La12PmIn4O3
1.0
-5.213 5.213 5.213
5.213 -5.213 5.213
5.213 5.213 -5.213
La Pm In O
12 1 4 3
Direct
0.000 0.271 0.271
0.000 0.729 0.729
0.250 0.500 0.750
0.250 0.750 0.500
0.271 0.000 0.271
0.271 0.271 0.000
0.500 0.250 0.750
0.500 0.750 0.250
0.729 0.000 0.729
0.729 0.729 0.000
0.750 0.250 0.500
0.750 0.500 0.250
0.000 0.000 0.000
0.000 0.000 0.500
0.000 0.500 0.000
0.500 0.000 0.000
0.500 0.500 0.500
0.000 0.500 0.500
0.500 0.000 0.500
0.500 0.500 0.000
```

(17)
## La2PmInO (PBE)

Data for a geometry-optimized La2PmInO structure.

Size of the total moment ... 0.0 Bohr magnetons per cell

POSCAR file:
```
La2PmInO
1.0
5.071 0.000 0.000
0.000 5.071 0.000
0.000 0.000 4.988
La Pm In O
2 1 1 1
Direct
0.000 0.500 0.000
0.500 0.000 0.000
0.000 0.000 0.500
0.500 0.500 0.500
0.000 0.000 0.000
```

(18)
## LaPm2InO (PBE)

Data for a geometry-optimized LaPm2InO structure.

Size of the total moment ... 0.0 Bohr magnetons per cell

POSCAR file:
```
LaPm2InO
1.0
4.972 0.000 0.000
0.000 4.972 0.000
0.000 0.000 5.035
La Pm In O
1 2 1 1
Direct
0.000 0.000 0.000
0.000 0.500 0.500
0.500 0.000 0.500
0.500 0.500 0.000
0.000 0.000 0.500
```

(19)
## LaPr12In4O3 (PBE)

Data for a geometry-optimized LaPr12In4O3 structure.

Size of the total moment ... 0.0 Bohr magnetons per cell

POSCAR file:
```
LaPr12In4O3
1.0
-5.168 5.168 5.168
5.168 -5.168 5.168
5.168 5.168 -5.168
La Pr In O
1 12 4 3
Direct
0.000 0.000 0.000
0.000 0.272 0.272
0.000 0.728 0.728
0.250 0.500 0.750
0.250 0.750 0.500
0.272 0.000 0.272
0.272 0.272 0.000
0.500 0.250 0.750
0.500 0.750 0.250
0.728 0.000 0.728
0.728 0.728 0.000
0.750 0.250 0.500
0.750 0.500 0.250
0.000 0.000 0.500
0.000 0.500 0.000
0.500 0.000 0.000
0.500 0.500 0.500
0.000 0.500 0.500
0.500 0.000 0.500
0.500 0.500 0.000
```

(20)
## LaInPtO6 (PBE)

Data for a geometry-optimized LaInPtO6 structure.

Size of the total moment ... 3.5 Bohr magnetons per cell

POSCAR file:
```
LaInPtO6
1.0
5.033 0.000 0.000
0.000 5.033 0.000
0.000 0.000 10.222
La In Pt O
2 2 2 12
Direct
0.000 0.000 0.000
0.500 0.500 0.500
0.000 0.000 0.659
0.500 0.500 0.159
0.000 0.000 0.327
0.500 0.500 0.827
0.176 0.176 0.478
0.197 0.197 0.183
0.227 0.227 0.819
0.273 0.727 0.319
0.303 0.697 0.683
0.324 0.676 0.978
0.676 0.324 0.978
0.697 0.303 0.683
0.727 0.273 0.319
0.773 0.773 0.819
0.803 0.803 0.183
0.824 0.824 0.478
```

(21)
## LaPuInO6 (PBE)

Data for a geometry-optimized LaPuInO6 structure.

Size of the total moment ... 4.0 Bohr magnetons per cell

POSCAR file:
```
LaPuInO6
1.0
5.583 0.000 0.000
-2.791 4.835 0.000
0.000 0.000 10.440
La Pu In O
2 2 2 12
Direct
0.000 0.000 0.000
0.000 0.000 0.500
0.333 0.667 0.250
0.667 0.333 0.750
0.333 0.667 0.750
0.667 0.333 0.250
0.017 0.363 0.139
0.017 0.654 0.361
0.346 0.363 0.361
0.346 0.983 0.139
0.363 0.017 0.639
0.363 0.346 0.861
0.637 0.654 0.139
0.637 0.983 0.361
0.654 0.017 0.861
0.654 0.637 0.639
0.983 0.346 0.639
0.983 0.637 0.861
```

Number 1: DOS(E_F) 0.0 states/eV/f.u., ΔE_f (raw) -2.08 eV per atom, final energy -6.47 eV/atom. Number 2: DOS(E_F) 5.3 states/eV/f.u., ΔE_f (raw) -1.61 eV per atom, final energy -6.00 eV/atom. Number 3: DOS(E_F) 2.5 states/eV/f.u., ΔE_f (raw) -0.97 eV per atom, final energy -4.81 eV/atom. Number 4: DOS(E_F) 8.7 states/eV/f.u., ΔE_f (raw) -0.58 eV per atom, final energy -4.97 eV/atom. Number 5: DOS(E_F) 0.4 states/eV/f.u., ΔE_f (raw) -2.26 eV per atom, final energy -6.65 eV/atom. Number 6: DOS(E_F) 0.0 states/eV/f.u., ΔE_f (raw) -2.97 eV per atom, final energy -7.70 eV/atom. Number 7: DOS(E_F) 0.0 states/eV/f.u., ΔE_f (raw) -2.51 eV per atom, final energy -7.02 eV/atom. Number 8: DOS(E_F) 4.8 states/eV/f.u., ΔE_f (raw) -1.53 eV per atom, final energy -5.91 eV/atom. Number 9: DOS(E_F) 2.8 states/eV/f.u., ΔE_f (raw) -1.73 eV per atom, final energy -6.31 eV/atom. Number 10: DOS(E_F) 4.8 states/eV/f.u., ΔE_f (raw) -1.08 eV per atom, final energy -5.38 eV/atom. Number 11: DOS(E_F) 10.3 states/eV/f.u., ΔE_f (raw) -0.76 eV per atom, final energy -5.88 eV/atom. Number 12: DOS(E_F) 4.4 states/eV/f.u., ΔE_f (raw) -1.81 eV per atom, final energy -7.22 eV/atom. Number 13: DOS(E_F) 5.3 states/eV/f.u., ΔE_f (raw) -0.14 eV per atom, final energy -4.83 eV/atom. Number 14: DOS(E_F) 5.6 states/eV/f.u., ΔE_f (raw) -1.15 eV per atom, final energy -5.60 eV/atom. Number 15: DOS(E_F) 4.0 states/eV/f.u., ΔE_f (raw) -1.21 eV per atom, final energy -5.76 eV/atom. Number 16: DOS(E_F) 21.5 states/eV/f.u., ΔE_f (raw) -0.90 eV per atom, final energy -5.39 eV/atom. Number 17: DOS(E_F) 2.2 states/eV/f.u., ΔE_f (raw) -1.43 eV per atom, final energy -5.89 eV/atom. Number 18: DOS(E_F) 1.8 states/eV/f.u., ΔE_f (raw) -1.42 eV per atom, final energy -5.85 eV/atom. Number 19: DOS(E_F) 18.2 states/eV/f.u., ΔE_f (raw) -0.82 eV per atom, final energy -5.22 eV/atom. Number 20: DOS(E_F) 6.3 states/eV/f.u., ΔE_f (raw) -1.40 eV per atom, final energy -6.23 eV/atom. Number 21: DOS(E_F) 8.1 states/eV/f.u., ΔE_f (raw) -2.50 eV per atom, final energy -8.25 eV/atom.